# 1
Ca2Mg2Zn, PBEsol geometry, DFT meta-GGA SCAN; crystal system = orthorhombic; DFT formation energy = -0.1227 eV per atom; E_tot = -8.681 eV/atom; energy relative to the lowest polymorph listed for this composition = 0.015 eV per atom
1.0
-3.3127 7.1551 2.8207
3.3127 -7.1551 2.8207
3.3127 7.1551 -2.8207
Ca Mg Zn
4 4 2
Direct
0.1732 0.1817 0.3549
0.3268 0.6817 0.0085
0.6732 0.3183 0.9915
0.8268 0.8183 0.6451
0.0740 0.6618 0.7359
0.4260 0.1618 0.5878
0.5740 0.8382 0.4122
0.9260 0.3382 0.2641
0.2500 0.2500 0.0000
0.7500 0.7500 0.0000

---

# 2
Cr2Rh2C, PBEsol geometry, DFT meta-GGA SCAN; crystal system = trigonal; DFT formation energy = -0.1029 eV per atom; E_tot = -22.985 eV/atom
1.0
1.3556 0.7826 8.6274
-1.3556 0.7826 8.6274
0.0000 -1.5653 8.6274
Cr Rh C
2 2 1
Direct
0.1225 0.1225 0.1225
0.8775 0.8775 0.8775
0.3776 0.3776 0.3776
0.6224 0.6224 0.6224
0.5000 0.5000 0.5000

---

# 3
BaTaTe2, PBEsol geometry, DFT meta-GGA SCAN; crystal system = monoclinic; E_tot = -45.700 eV/atom; energy relative to the lowest polymorph listed for this composition = 0.050 eV per atom
1.0
3.8856 -2.0255 0.0000
3.8856 2.0255 0.0000
-2.7699 0.0000 7.4836
Ba Ta Te
1 1 2
Direct
0.0000 0.0000 0.0000
0.1934 0.1934 0.5251
0.5729 0.5729 0.7019
0.7998 0.7998 0.3240

---

# 4
Mg3SnBr, PBEsol geometry, DFT meta-GGA SCAN; crystal system = cubic; E_tot = -13.849 eV/atom
1.0
5.1305 0.0000 0.0000
0.0000 5.1305 0.0000
0.0000 0.0000 5.1305
Mg Sn Br
3 1 1
Direct
0.0000 0.0000 0.5000
0.0000 0.5000 0.0000
0.5000 0.0000 0.0000
0.5000 0.5000 0.5000
0.0000 0.0000 0.0000

---

# 5
Mg2TcBr, PBEsol geometry, DFT meta-GGA SCAN; crystal system = orthorhombic; E_tot = -16.205 eV/atom
1.0
3.0938 0.0000 0.0000
0.0000 3.1614 0.0000
0.0000 0.0000 8.0442
Mg Tc Br
2 1 1
Direct
0.0000 0.0000 0.2203
0.0000 0.0000 0.7797
0.5000 0.5000 0.0000
0.5000 0.0000 0.5000

---

# 6
ScHgIr2, PBEsol geometry, DFT meta-GGA SCAN; crystal system = tetragonal; DFT formation energy = -0.1661 eV per atom; E_tot = -56.316 eV/atom
1.0
3.4698 0.0000 0.0000
0.0000 3.4698 0.0000
0.0000 0.0000 5.6340
Sc Hg Ir
1 1 2
Direct
0.0000 0.0000 0.0000
0.5000 0.5000 0.2791
0.0000 0.0000 0.5584
0.5000 0.5000 0.7589

---

> Among the records above, which one has the highest E_tot?

Ca2Mg2Zn

---

> Which value of E_tot does entry 4 give?

-13.849 eV/atom